An optimized crystal structure of SrAlFe2, computed with PBE-GGA.

Properties
The calculation puts the total energy at -0.1786 Ha/atom. The calculation puts the size of the total moment at 4.49 μB per formula unit.

Cell: 4.9424 2.8584 5.5362 Å, 90.00 113.24 90.00°
Closest atoms and distances in Å follow each position.
Positions (direct):
Sr: 0.0000 0.0000 0.0000  6 Fe 2.85-2.89, 2 Sr 2.86, 4 Al 3.12
Al: 0.0000 0.5000 0.5000  6 Fe 2.85-2.89, 2 Al 2.86, 4 Sr 3.12
Fe: 0.5000 0.0000 0.5000  4 Al 2.85, 6 Fe 2.86-3.12, 2 Sr 2.89
Fe: 0.5000 0.5000 0.0000  4 Sr 2.85, 6 Fe 2.86-3.12, 2 Al 2.89